{
  "formula": "BaSiW2",
  "functional": "PBE-GGA",
  "state": "optimized geometry",
  "lattice": [[-2.022, -2.323, 1.197], [0.775, -1.978, -2.531], [5.926, -3.011, 4.168]],
  "species": ["Ba", "Si", "W", "W"],
  "frac_coords": [[0.000, 0.000, 0.507], [0.500, 0.500, 0.827], [0.000, 0.000, 0.000], [0.500, 0.500, 0.166]],
  "dos_at_fermi_per_ev_atom": 1.30,
  "e_form_raw_mev_per_atom": 423,
  "e_above_lowest_polymorph_mev_per_atom": 7,
  "vol_a3_per_fu": 86,
  "magnetic_moment_mub_per_cell": 0.0
}